BHOs2: relaxed, PBE.

Lattice parameters (Å, degrees): 3.808 3.808 3.808 60.00 60.00 60.00
Element x y z (fractional)
B1 0.000 0.000 0.000
H1 0.500 0.500 0.500
Os1 0.250 0.250 0.250
Os2 0.750 0.750 0.750

Values from the calculation:
Energy relative to the lowest polymorph listed for this composition (eV/atom): 0.279
Magnetic moment (Bohr magnetons per cell): 0.0